Entry 1
This record from Alexandria via LeMat-Bulk describes a geometry-optimized PdPt5Rh structure. The functional is PBE.

a = 5.3070 Å, b = 6.8523 Å, c = 8.7865 Å
α = 90.00°, β = 90.00°, γ = 90.00°
Last column: nearest neighbours and their distance in Å.
Space group Imm2 (No. 44)
Inequivalent atoms, fractional coordinates:
Pd (0.0000, 0.0000, 0.0000)  4 Pt 2.66-2.81
Pt (0.0000, 0.3188, 0.2732)  4 Pt 2.48-2.56, 1 Rh 2.52
Pt (0.0000, 0.5000, 0.5279)  4 Pt 2.56-2.59, 2 Pd 2.66
Pt (0.2493, 0.5000, 0.7814)  1 Rh 2.50, 5 Pt 2.56-2.66
Rh (0.0000, 0.5000, 0.0232)  4 Pt 2.50-2.52

Properties
calculated volume = 320 Å³ per cell
mass density = 12.31 g cm⁻³
total moment = 0.00 μB/atom

Entry 2
This record from Alexandria via LeMat-Bulk describes a geometry-optimized PdPt5Rh structure. The functional is PBE.

a = 3.8750 Å, b = 3.8750 Å, c = 7.6817 Å
α = 90.00°, β = 90.00°, γ = 90.00°
Last column: nearest neighbours and their distance in Å.
Space group P4/mmm (No. 123)
Inequivalent atoms, fractional coordinates:
Pd (0.0000, 0.0000, 0.0000)  12 Pt 2.74-2.83
Pt (0.0000, 0.5000, 0.2682)  2 Rh 2.63, 6 Pt 2.74-2.83, 2 Pd 2.83
Pt (0.5000, 0.5000, 0.0000)  4 Pd 2.74, 8 Pt 2.83
Rh (0.0000, 0.0000, 0.5000)  8 Pt 2.63

Properties
calculated volume = 115 Å³ per cell
mass density = 17.06 g cm⁻³
total moment = 0.00 μB/atom

Energetically preferred structure: entry 2 | next structure: +0.670 eV/atom

Entry 1
This record from Alexandria via LeMat-Bulk describes a geometry-optimized Pd8Pt2Rh structure. The functional is PBE.

a = 11.6849 Å, b = 7.1944 Å, c = 4.6332 Å
α = 90.00°, β = 102.14°, γ = 90.00°
Last column: nearest neighbours and their distance in Å.
Space group C2/m (No. 12)
Inequivalent atoms, fractional coordinates:
Pd (0.0666, 0.1853, 0.2829)  1 Pt 2.63, 1 Rh 2.66, 7 Pd 2.67-2.84
Pd (0.1469, 0.0000, 0.8227)  1 Pt 2.68, 8 Pd 2.72-2.84
Pd (0.2287, 0.5000, 0.6108)  1 Rh 2.61, 2 Pt 2.62-2.65, 4 Pd 2.69-2.72
Pt (0.1182, 0.5000, 0.0488)  5 Pd 2.62-2.68, 2 Rh 2.63-2.74, 1 Pt 2.70
Rh (0.0000, 0.5000, 0.5000)  6 Pd 2.61-2.66, 4 Pt 2.63-2.74

Properties
calculated volume = 381 Å³ per cell
mass density = 11.73 g cm⁻³
total moment = 0.00 μB/atom

Entry 2
This record from Alexandria via LeMat-Bulk describes a geometry-optimized Pd8Pt2Rh structure. The functional is PBE.

a = 14.2240 Å, b = 3.9351 Å, c = 6.2383 Å
α = 90.00°, β = 105.20°, γ = 90.00°
Last column: nearest neighbours and their distance in Å.
Space group C2/m (No. 12)
Inequivalent atoms, fractional coordinates:
Pd (0.0452, 0.0000, 0.2299)  9 Pd 2.76-2.82, 2 Rh 2.77, 1 Pt 2.80
Pd (0.0902, 0.5000, 0.9516)  1 Rh 2.77, 8 Pd 2.78-2.81, 3 Pt 2.79
Pd (0.1353, 0.0000, 0.6794)  7 Pd 2.76-2.80, 2 Rh 2.77, 3 Pt 2.80
Pd (0.1811, 0.5000, 0.4077)  8 Pd 2.78-2.80, 1 Rh 2.78, 3 Pt 2.79-2.81
Pt (0.2271, 0.0000, 0.1345)  2 Pt 2.77, 10 Pd 2.79-2.81
Rh (0.0000, 0.5000, 0.5000)  12 Pd 2.77-2.78

Properties
calculated volume = 337 Å³ per cell
mass density = 13.25 g cm⁻³
total moment = 0.39 μB/atom

Energetically preferred structure: entry 2 | next structure: +0.309 eV/atom

Entry 1
This record from Alexandria via LeMat-Bulk describes a geometry-optimized TmPdPtRh structure. The functional is PBE.

a = 4.0340 Å, b = 4.0723 Å, c = 4.0932 Å
α = 90.00°, β = 90.00°, γ = 90.00°
Last column: nearest neighbours and their distance in Å.
Space group Pmmm (No. 47)
Inequivalent atoms, fractional coordinates:
Tm (0.0000, 0.0000, 0.0000)  4 Pd 2.87, 4 Rh 2.87, 4 Pt 2.89
Pd (0.5000, 0.5000, 0.0000)  4 Tm 2.87, 4 Pt 2.87, 4 Rh 2.89
Pt (0.0000, 0.5000, 0.5000)  4 Rh 2.87, 4 Pd 2.87, 4 Tm 2.89
Rh (0.5000, 0.0000, 0.5000)  4 Pt 2.87, 4 Tm 2.87, 4 Pd 2.89

Properties
calculated volume = 67 Å³ per cell
mass density = 14.16 g cm⁻³
total moment = 0.00 μB/atom

Entry 2
This record from Alexandria via LeMat-Bulk describes a geometry-optimized TmPdPtRh structure. The functional is PBE.

a = 6.5007 Å, b = 6.5007 Å, c = 6.5007 Å
α = 90.00°, β = 90.00°, γ = 90.00°
Last column: nearest neighbours and their distance in Å.
Space group F-43m (No. 216)
Inequivalent atoms, fractional coordinates:
Tm (0.0000, 0.0000, 0.0000)  4 Rh 2.81, 4 Pd 2.81
Pd (0.2500, 0.2500, 0.7500)  4 Tm 2.81, 4 Pt 2.81
Pt (0.0000, 0.0000, 0.5000)  4 Rh 2.81, 4 Pd 2.81
Rh (0.2500, 0.2500, 0.2500)  4 Tm 2.81, 4 Pt 2.81

Properties
calculated volume = 275 Å³ per cell
mass density = 13.86 g cm⁻³
total moment = 0.00 μB/atom

Energetically preferred structure: entry 1 | next structure: +0.178 eV/atom